1.
Crystalline ZnAgOs2 at its relaxed geometry, computed with PBE.

As for the density of states at the Fermi level: 1.124 states/eV/atom. As for the formation energy: 0.5458 eV/atom.

It has space group Pmmm (No. 47), with a = 2.766 Å, b = 4.609 Å, c = 4.779 Å, α = 90.00°, β = 90.00° and γ = 90.00°. Symmetry generates all atoms from Zn at (0.000, 0.000, 0.000), Ag at (0.500, 0.500, 0.000), Os at (0.000, 0.500, 0.500) and Os at (0.500, 0.000, 0.500).

2.
Crystalline SrCa2W at its relaxed geometry, computed with PBE.

As for the density of states at the Fermi level: 1.295 states/eV/atom. For the offset from the most stable computed form, the calculation gives 0.50 eV/f.u. As for the formation energy: 0.9647 eV/atom.

It has space group Fm-3m (No. 225), with a = 7.891 Å, b = 7.891 Å, c = 7.891 Å, α = 90.00°, β = 90.00° and γ = 90.00°. Symmetry generates all atoms from Sr at (0.000, 0.000, 0.000), Ca at (0.250, 0.250, 0.250) and W at (0.000, 0.000, 0.500).

3.
Crystalline Nd3ZnNi2 at its relaxed geometry, computed with PBE.

As for the density of states at the Fermi level: 0.889 states/eV/atom. As for the formation energy: -0.2022 eV/atom.

It has space group Cmce (No. 64), with a = 9.024 Å, b = 14.029 Å, c = 9.198 Å, α = 90.00°, β = 90.00° and γ = 90.00°. Symmetry generates all atoms from Nd at (0.000, 0.163, 0.219), Nd at (0.215, 0.123, 0.549), Zn at (0.000, 0.050, 0.816), Ni at (0.000, 0.215, 0.942) and Ni at (0.250, 0.033, 0.250).

4.
Crystalline Sm2GaSiPd6 at its relaxed geometry, computed with PBE.

As for the density of states at the Fermi level: 0.321 states/eV/atom. The formation energy from raw total energies is -7.480 eV per formula unit.

It has space group Pmmn (No. 59, origin choice 2), with a = 5.581 Å, b = 8.710 Å, c = 8.100 Å, α = 90.00°, β = 90.00° and γ = 90.00°. Symmetry generates all atoms from Sm at (0.250, 0.005, 0.233), Ga at (0.250, 0.750, 0.771), Si at (0.250, 0.250, 0.742), Pd at (0.000, 0.250, 0.976), Pd at (0.001, 0.750, 0.504) and Pd at (0.250, 0.001, 0.614).

5.
Crystalline Na2HgAsI6 at its relaxed geometry, computed with PBE.

As for the density of states at the Fermi level: 0.237 states/eV/atom. For the offset from the most stable computed form, the calculation gives 1.06 eV/f.u. The formation energy from raw total energies is -4.426 eV per formula unit.

It has space group Fm-3m (No. 225), with a = 11.874 Å, b = 11.874 Å, c = 11.874 Å, α = 90.00°, β = 90.00° and γ = 90.00°. Symmetry generates all atoms from Na at (0.250, 0.250, 0.250), Hg at (0.000, 0.000, 0.000), As at (0.000, 0.000, 0.500) and I at (0.000, 0.000, 0.258).

6.
Crystalline Er12TlPd6 at its relaxed geometry, computed with PBE.

As for the density of states at the Fermi level: 0.986 states/eV/atom. For the offset from the most stable computed form, the calculation gives 0.00 eV/f.u. As for the formation energy: -0.6235 eV/atom.

It has space group Im-3 (No. 204), with a = 9.868 Å, b = 9.868 Å, c = 9.868 Å, α = 90.00°, β = 90.00° and γ = 90.00°. Symmetry generates all atoms from Er at (0.000, 0.296, 0.184), Tl at (0.000, 0.000, 0.000) and Pd at (0.000, 0.138, 0.500).

7.
Crystalline Nd6Ru2CCl3 at its relaxed geometry, computed with PBE.

As for the density of states at the Fermi level: 0.746 states/eV/atom. The formation energy from raw total energies is -10.558 eV per formula unit.

It has space group C2/m (No. 12), with a = 6.955 Å, b = 12.057 Å, c = 7.764 Å, α = 90.00°, β = 107.14° and γ = 90.00°. Symmetry generates all atoms from Nd at (0.219, 0.156, 0.196), Nd at (0.247, 0.500, 0.195), Ru at (0.000, 0.332, 0.000), C at (0.000, 0.000, 0.000), Cl at (0.000, 0.160, 0.500) and Cl at (0.000, 0.500, 0.500).

8.
Crystalline LiNiRh2 at its relaxed geometry, computed with PBE.

As for the density of states at the Fermi level: 1.312 states/eV/atom. For the offset from the most stable computed form, the calculation gives 0.05 eV/f.u. As for the formation energy: -0.0493 eV/atom.

It has space group Cm (No. 8), with a = 8.862 Å, b = 2.671 Å, c = 4.434 Å, α = 90.00°, β = 100.06° and γ = 90.00°. Symmetry generates all atoms from Li at (0.000, 0.000, 0.000), Ni at (0.254, 0.500, 0.224), Rh at (0.241, 0.000, 0.719) and Rh at (0.494, 0.000, 0.494).

9.
Crystalline SrTl2Te at its relaxed geometry, computed with PBE.

As for the density of states at the Fermi level: 1.131 states/eV/atom. For the offset from the most stable computed form, the calculation gives 0.71 eV/f.u. The formation energy from raw total energies is -1.872 eV per formula unit.

It has space group F-43m (No. 216), with a = 8.063 Å, b = 8.063 Å, c = 8.063 Å, α = 90.00°, β = 90.00° and γ = 90.00°. Symmetry generates all atoms from Sr at (0.000, 0.000, 0.000), Tl at (0.000, 0.000, 0.500), Tl at (0.250, 0.250, 0.750) and Te at (0.250, 0.250, 0.250).

10.
Crystalline CuReOs2 at its relaxed geometry, computed with PBE.

As for the density of states at the Fermi level: 0.974 states/eV/atom. For the offset from the most stable computed form, the calculation gives 0.28 eV/f.u. As for the formation energy: 0.2507 eV/atom.

It has space group Pm (No. 6), with a = 2.733 Å, b = 3.878 Å, c = 5.287 Å, α = 90.00°, β = 90.13° and γ = 90.00°. Symmetry generates all atoms from Cu at (0.000, 0.000, 0.000), Re at (0.498, 0.500, 0.246), Os at (0.001, 0.000, 0.500) and Os at (0.502, 0.500, 0.764).

11.
Crystalline Pr2YTmAs4 at its relaxed geometry, computed with PBE.

As for the density of states at the Fermi level: 0.110 states/eV/atom. As for the formation energy: -1.5048 eV/atom.

It has space group P2/m (No. 10), with a = 7.270 Å, b = 4.206 Å, c = 7.282 Å, α = 90.00°, β = 109.50° and γ = 90.00°. Symmetry generates all atoms from Pr at (0.000, 0.000, 0.000), Pr at (0.000, 0.500, 0.500), Y at (0.500, 0.000, 0.500), Tm at (0.500, 0.500, 0.000), As at (0.262, 0.500, 0.252) and As at (0.264, 0.000, 0.756).

12.
Crystalline Tb2ZnSi4Pd3 at its relaxed geometry, computed with PBE.

As for the density of states at the Fermi level: 0.391 states/eV/atom. The formation energy from raw total energies is -7.901 eV per formula unit.

It has space group P-4m2 (No. 115), with a = 4.125 Å, b = 4.125 Å, c = 10.223 Å, α = 90.00°, β = 90.00° and γ = 90.00°. Symmetry generates all atoms from Tb at (0.000, 0.500, 0.249), Zn at (0.000, 0.000, 0.500), Si at (0.000, 0.000, 0.000), Si at (0.000, 0.500, 0.640), Si at (0.500, 0.500, 0.000), Pd at (0.000, 0.500, 0.875) and Pd at (0.500, 0.500, 0.500).

13.
Crystalline Pm3Sm5Ru2 at its relaxed geometry, computed with PBE.

As for the density of states at the Fermi level: 1.019 states/eV/atom. As for the formation energy: 0.0148 eV/atom.

It has space group Ibam (No. 72), with a = 12.418 Å, b = 14.288 Å, c = 6.909 Å, α = 90.00°, β = 90.00° and γ = 90.00°. Symmetry generates all atoms from Pm at (0.000, 0.000, 0.250), Pm at (0.243, 0.181, 0.000), Sm at (0.000, 0.271, 0.250), Sm at (0.000, 0.500, 0.250), Sm at (0.215, 0.436, 0.000) and Ru at (0.109, 0.157, 0.500).

14.
Crystalline Ca2BiSe4 at its relaxed geometry, computed with PBE.

As for the density of states at the Fermi level: 0.766 states/eV/atom. The formation energy from raw total energies is -7.689 eV per formula unit.

It has space group I-42d (No. 122), with a = 8.834 Å, b = 8.834 Å, c = 9.175 Å, α = 90.00°, β = 90.00° and γ = 90.00°. Symmetry generates all atoms from Ca at (0.131, 0.750, 0.125), Bi at (0.000, 0.000, 0.500) and Se at (0.066, 0.674, 0.446).

15.
Crystalline YHf2TeW at its relaxed geometry, computed with PBE.

As for the density of states at the Fermi level: 1.883 states/eV/atom. The formation energy from raw total energies is 4.928 eV per formula unit.

It has space group P4/mmm (No. 123), with a = 5.233 Å, b = 5.233 Å, c = 4.962 Å, α = 90.00°, β = 90.00° and γ = 90.00°. Symmetry generates all atoms from Y at (0.000, 0.000, 0.000), Hf at (0.000, 0.500, 0.500), Te at (0.500, 0.500, 0.500) and W at (0.500, 0.500, 0.000).

16.
Crystalline CeTl2S4 at its relaxed geometry, computed with PBE.

As for the density of states at the Fermi level: 0.535 states/eV/atom. The formation energy from raw total energies is -5.507 eV per formula unit.

It has space group Imma (No. 74), with a = 8.213 Å, b = 8.540 Å, c = 11.931 Å, α = 90.00°, β = 90.00° and γ = 90.00°. Symmetry generates all atoms from Ce at (0.000, 0.000, 0.000), Tl at (0.000, 0.250, 0.365), Tl at (0.250, 0.250, 0.750), S at (0.000, 0.040, 0.764) and S at (0.209, 0.250, 0.000).

17.
Crystalline Er12NiBi6 at its relaxed geometry, computed with PBE.

As for the density of states at the Fermi level: 0.602 states/eV/atom. As for the formation energy: -0.4294 eV/atom.

It has space group R-3 (No. 148, hexagonal axes), with a = 13.1333 Å, b = 13.1333 Å, c = 12.0293 Å, α = 90.00°, β = 90.00° and γ = 120.00°. Symmetry generates all atoms from Er at (0.0264, 0.1798, 0.3833), Er at (0.0629, 0.1857, 0.8802), Ni at (0.0000, 0.0000, 0.0000) and Bi at (0.0425, 0.2886, 0.6387).

18.
Crystalline BeGeAs2Se at its relaxed geometry, computed with PBE.

As for the density of states at the Fermi level: 0.549 states/eV/atom. For the offset from the most stable computed form, the calculation gives 0.00 eV/f.u. The formation energy from raw total energies is 2.212 eV per formula unit.

It has space group P4/mmm (No. 123), with a = 4.457 Å, b = 4.457 Å, c = 4.866 Å, α = 90.00°, β = 90.00° and γ = 90.00°. Symmetry generates all atoms from Be at (0.000, 0.000, 0.000), Ge at (0.500, 0.500, 0.500), As at (0.000, 0.500, 0.000) and Se at (0.000, 0.000, 0.500).

19.
Crystalline KZnBi2P at its relaxed geometry, computed with PBE.

As for the density of states at the Fermi level: 1.743 states/eV/atom. As for the formation energy: 1.4800 eV/atom.

It has space group P4/mmm (No. 123), with a = 6.041 Å, b = 6.041 Å, c = 5.351 Å, α = 90.00°, β = 90.00° and γ = 90.00°. Symmetry generates all atoms from K at (0.000, 0.000, 0.000), Zn at (0.000, 0.000, 0.500), Bi at (0.000, 0.500, 0.000) and P at (0.500, 0.500, 0.500).

20.
Crystalline Ac6Pt2AuSe3 at its relaxed geometry, computed with PBE.

As for the density of states at the Fermi level: 0.625 states/eV/atom. The formation energy from raw total energies is -17.262 eV per formula unit.

It has space group C2/m (No. 12), with a = 7.615 Å, b = 13.187 Å, c = 8.196 Å, α = 90.00°, β = 107.99° and γ = 90.00°. Symmetry generates all atoms from Ac at (0.233, 0.000, 0.231), Ac at (0.249, 0.328, 0.230), Pt at (0.000, 0.167, 0.000), Au at (0.000, 0.500, 0.000), Se at (0.000, 0.000, 0.500) and Se at (0.000, 0.335, 0.500).